Compound: KCaP2
Source: Alexandria via LeMat-Bulk
Functional: GGA-PBEsol
Structure: relaxed

The structure in POSCAR format:
```
KCaP2
1.0
3.710 0.000 0.000
0.000 3.966 0.000
0.000 0.000 6.653
K Ca P
1 1 2
direct
0.000 0.000 0.000
0.000 0.000 0.500
0.500 0.500 0.336
0.500 0.500 0.664
```

Uncorrected energy ... -4.409 eV per atom
ΔE_f ... -269 kJ/mol of formula units
Excess energy over the best structure of this formula in the dataset ... 0.000 eV/atom



Compound: KCaP
Source: Alexandria via LeMat-Bulk
Functional: GGA-PBEsol
Structure: relaxed

The structure in POSCAR format:
```
KCaP
1.0
4.679 0.000 0.000
-2.339 4.052 0.000
0.000 0.000 5.359
K Ca P
1 1 1
direct
0.000 0.000 0.000
0.667 0.333 0.526
0.333 0.667 0.628
```

Uncorrected energy ... -3.551 eV per atom
ΔE_f ... -154 kJ/mol of formula units



Compound: K2CaP
Source: Alexandria via LeMat-Bulk
Functional: GGA-PBEsol
Structure: relaxed

The structure in POSCAR format:
```
K2CaP
1.0
4.178 0.000 0.000
0.000 3.952 0.000
-2.088 0.000 9.766
K Ca P
2 1 1
direct
0.000 0.000 0.000
0.300 0.500 0.605
0.650 0.000 0.303
0.136 0.500 0.276
```

Uncorrected energy ... -2.963 eV per atom
ΔE_f ... -160 kJ/mol of formula units



Compound: KCaPS2
Source: Alexandria via LeMat-Bulk
Functional: GGA-PBEsol
Structure: relaxed

The structure in POSCAR format:
```
KCaPS2
1.0
5.230 0.000 0.000
0.000 5.230 0.000
0.000 0.000 4.970
K Ca P S
1 1 1 2
direct
0.000 0.000 0.000
0.500 0.500 0.500
0.000 0.000 0.500
0.000 0.500 0.000
0.500 0.000 0.000
```

Uncorrected energy ... -3.066 eV per atom
ΔE_f (raw) ... 2.5 eV per formula unit



The highest uncorrected energy belongs to which entry? K2CaP